Here is crystalline Nd4DyHo3 at its relaxed geometry from the Alexandria database. Energies are from PBE.

- DOS at the Fermi energy (states/eV/f.u.) = 14.59
- ρ (g/cm3) = 7.7
- energy of formation from the pure elements (meV/atom) = 28
- M_tot (Bohr magnetons per cell) = 0.00

a b c (Å): 11.582 7.327 6.309
angles (deg): 90.00 90.00 90.00
Sites, in units of the cell vectors:
Nd: 0.000 0.128 0.000
Nd: 0.000 0.872 0.498
Nd: 0.249 0.872 0.835
Nd: 0.251 0.128 0.335
Nd: 0.500 0.128 0.998
Nd: 0.500 0.872 0.500
Nd: 0.749 0.128 0.335
Nd: 0.751 0.872 0.835
Dy: 0.000 0.378 0.501
Dy: 0.500 0.622 0.001
Ho: 0.000 0.621 0.001
Ho: 0.250 0.379 0.834
Ho: 0.250 0.621 0.334
Ho: 0.500 0.379 0.501
Ho: 0.750 0.379 0.834
Ho: 0.750 0.621 0.334

***

Here is crystalline BaZr2Cd at its relaxed geometry from the Alexandria database. Energies are from PBE.

- DOS at the Fermi energy (states/eV/f.u.) = 6.26
- ρ (g/cm3) = 6.6
- energy of formation from the pure elements (meV/atom) = 447
- M_tot (Bohr magnetons per cell) = 0.00

a b c (Å): 5.764 5.764 5.764
angles (deg): 130.50 130.50 72.61
Sites, in units of the cell vectors:
Ba: 0.000 0.000 0.000
Zr: 0.500 0.500 0.000
Zr: 0.750 0.250 0.500
Cd: 0.250 0.750 0.500

***

Here is crystalline ZrCu2Pb at its relaxed geometry from the Alexandria database. Energies are from PBE.

- DOS at the Fermi energy (states/eV/f.u.) = 1.32
- ρ (g/cm3) = 8.8
- energy of formation from the pure elements (meV/atom) = 288
- M_tot (Bohr magnetons per cell) = 0.00

a b c (Å): 5.991 5.991 5.991
angles (deg): 104.07 104.07 120.92
Sites, in units of the cell vectors:
Zr: 0.000 0.000 0.000
Zr: 0.750 0.250 0.500
Cu: 0.125 0.625 0.000
Cu: 0.375 0.375 0.500
Cu: 0.625 0.125 0.000
Cu: 0.875 0.875 0.500
Pb: 0.250 0.750 0.500
Pb: 0.500 0.500 0.000

***

Here is crystalline La3RuAu at its relaxed geometry from the Alexandria database. Energies are from PBE.

- DOS at the Fermi energy (states/eV/f.u.) = 4.25
- ρ (g/cm3) = 7.5
- energy of formation from the pure elements (meV/atom) = -441
- M_tot (Bohr magnetons per cell) = 0.00

a b c (Å): 8.118 8.118 8.118
angles (deg): 52.92 52.92 52.92
Sites, in units of the cell vectors:
La: 0.101 0.768 0.407
La: 0.232 0.593 0.899
La: 0.407 0.101 0.768
La: 0.593 0.899 0.232
La: 0.768 0.407 0.101
La: 0.899 0.232 0.593
Ru: 0.173 0.173 0.173
Ru: 0.827 0.827 0.827
Au: 0.328 0.328 0.328
Au: 0.672 0.672 0.672

***

The lowest energy of formation from the pure elements belongs to which entry?
La3RuAu

***

Which of these has the highest ρ?
ZrCu2Pb

***

The lowest ρ belongs to which entry?
BaZr2Cd

***

Please write out number 4 again, unchanged.
Here is crystalline La3RuAu at its relaxed geometry from the Alexandria database. Energies are from PBE.

- DOS at the Fermi energy (states/eV/f.u.) = 4.25
- ρ (g/cm3) = 7.5
- energy of formation from the pure elements (meV/atom) = -441
- M_tot (Bohr magnetons per cell) = 0.00

a b c (Å): 8.118 8.118 8.118
angles (deg): 52.92 52.92 52.92
Sites, in units of the cell vectors:
La: 0.101 0.768 0.407
La: 0.232 0.593 0.899
La: 0.407 0.101 0.768
La: 0.593 0.899 0.232
La: 0.768 0.407 0.101
La: 0.899 0.232 0.593
Ru: 0.173 0.173 0.173
Ru: 0.827 0.827 0.827
Au: 0.328 0.328 0.328
Au: 0.672 0.672 0.672